## Ho2Tm8In (PBE-GGA)

Data for crystalline Ho2Tm8In at its relaxed geometry.

Values from the calculation:
The calculation puts the total magnetic moment at 0.000 μB/atom. As for the formation enthalpy at 0 K: -0.0527 eV/atom.

```
Ho2Tm8In
1.0
9.544 -2.728 0.000
9.544 2.728 0.000
-0.558 0.000 6.294
Ho Tm In
2 8 1
direct
0.243 0.243 0.334
0.757 0.757 0.666
0.045 0.045 0.266
0.153 0.153 0.805
0.338 0.338 0.877
0.421 0.421 0.405
0.579 0.579 0.595
0.662 0.662 0.123
0.847 0.847 0.195
0.955 0.955 0.734
0.500 0.500 0.000
```